First-principles (PBE-GGA) data for CrSn3Pb after structural relaxation, as listed in Alexandria via LeMat-Bulk.

```
CrSn3Pb
1.0
5.160 0.000 0.000
0.000 5.160 0.000
0.000 0.000 5.160
Sn Pb Cr
3 1 1
direct
0.500 0.000 0.000
0.000 0.000 0.500
0.000 0.500 0.000
0.500 0.500 0.500
0.000 0.000 0.000
```

Summary:
The distance to the lowest polymorph of the same formula comes out at 0 meV/atom. Its symmetry is No. 221. Its total magnetic moment is 2.40 μB per formula unit. As for the volume: 137.4 Å³ per cell. As for the energy relative to the elements: 0.289 eV per atom.



First-principles (PBE-GGA) data for BiTePt2Pb after structural relaxation, as listed in Alexandria via LeMat-Bulk.

```
BiTePt2Pb
1.0
5.083 0.000 0.000
0.000 5.938 0.000
0.000 0.000 5.083
Pb Pt Te Bi
1 2 1 1
direct
0.000 0.000 0.000
0.500 0.000 0.000
0.000 0.000 0.500
0.000 0.500 0.000
0.500 0.500 0.500
```

Summary:
Its symmetry is No. 123. Its total magnetic moment is 0.00 μB per formula unit. As for the volume: 153.4 Å³ per cell. Its electronic total energy is -18.36 eV per formula unit.



First-principles (PBE-GGA) data for HfNbN after structural relaxation, as listed in Alexandria via LeMat-Bulk.

```
HfNbN
1.0
5.041 0.000 0.000
0.000 3.177 0.000
0.000 -1.589 2.751
Nb Hf N
1 1 1
direct
0.585 0.333 0.667
0.083 0.000 0.000
0.333 0.667 0.333
```

Summary:
The distance to the lowest polymorph of the same formula comes out at 49 meV/atom. Its symmetry is No. 156. Its total magnetic moment is 0.00 μB per formula unit. As for the volume: 44.1 Å³ per cell.



First-principles (PBE-GGA) data for LiVPt after structural relaxation, as listed in Alexandria via LeMat-Bulk.

```
LiVPt
1.0
8.795 -4.514 0.000
-6.000 7.856 0.000
0.000 0.000 2.674
Li Pt V
2 2 2
direct
0.425 0.575 0.250
0.575 0.425 0.750
0.301 0.699 0.750
0.699 0.301 0.250
0.169 0.831 0.750
0.831 0.169 0.250
```

Summary:
The distance to the lowest polymorph of the same formula comes out at 254 meV/atom. Its symmetry is No. 63. Its total magnetic moment is 0.00 μB per formula unit. As for the volume: 112.3 Å³ per cell. As for the energy relative to the elements: 0.047 eV per atom.



First-principles (PBE-GGA) data for HfOsSN2 after structural relaxation, as listed in Alexandria via LeMat-Bulk.

```
HfOsSN2
1.0
3.781 0.000 0.000
0.000 4.903 0.000
0.000 0.000 3.781
N Os S Hf
2 1 1 1
direct
0.000 0.000 0.500
0.500 0.000 0.000
0.500 0.500 0.500
0.000 0.000 0.000
0.000 0.500 0.000
```

Summary:
The distance to the lowest polymorph of the same formula comes out at 1410 meV/atom. Its symmetry is No. 123. Its total magnetic moment is 0.00 μB per formula unit. As for the volume: 70.1 Å³ per cell.



First-principles (PBE-GGA) data for BeTeRu2 after structural relaxation, as listed in Alexandria via LeMat-Bulk.

```
BeTeRu2
1.0
-0.994 2.787 4.083
3.124 -3.923 0.364
2.772 1.111 -0.006
Te Be Ru
1 1 2
direct
0.000 0.500 0.500
0.500 0.500 0.000
0.000 0.000 0.000
0.500 0.000 0.500
```

Summary:
The distance to the lowest polymorph of the same formula comes out at 451 meV/atom. Its symmetry is No. 12. Its total magnetic moment is 0.00 μB per formula unit. As for the volume: 61.8 Å³ per cell.



First-principles (PBE-GGA) data for LaAlPt4 after structural relaxation, as listed in Alexandria via LeMat-Bulk.

```
LaAlPt4
1.0
-4.317 -3.113 1.043
-4.188 2.019 2.793
-4.712 0.972 -2.503
Pt Al La
4 1 1
direct
0.376 0.376 0.872
0.376 0.872 0.376
0.376 0.376 0.376
0.872 0.376 0.376
0.750 0.750 0.750
0.000 0.000 0.000
```

Summary:
The distance to the lowest polymorph of the same formula comes out at 143 meV/atom. Its symmetry is No. 216. Its total magnetic moment is 0.00 μB per formula unit. As for the volume: 112.8 Å³ per cell. As for the energy relative to the elements: -0.804 eV per atom.



First-principles (PBE-GGA) data for K2WC after structural relaxation, as listed in Alexandria via LeMat-Bulk.

```
K2WC
1.0
12.388 0.000 0.000
0.000 12.388 0.000
6.194 6.194 1.996
C K W
2 4 2
direct
0.250 0.750 0.500
0.500 0.500 0.000
0.875 0.638 0.750
0.375 0.612 0.750
0.362 0.625 0.250
0.388 0.125 0.250
0.000 0.000 0.000
0.750 0.250 0.500
```

Summary:
Its symmetry is No. 122. Its total magnetic moment is 2.10 μB per formula unit. As for the volume: 306.3 Å³ per cell. As for the energy relative to the elements: 1.178 eV per atom.



First-principles (PBE-GGA) data for SrCr2CoIr after structural relaxation, as listed in Alexandria via LeMat-Bulk.

```
SrCr2CoIr
1.0
4.858 0.000 0.000
0.000 4.313 0.000
0.000 0.000 4.858
Cr Sr Co Ir
2 1 1 1
direct
0.000 0.000 0.500
0.500 0.000 0.000
0.000 0.000 0.000
0.000 0.500 0.000
0.500 0.500 0.500
```

Summary:
Its symmetry is No. 123. Its total magnetic moment is 9.16 μB per formula unit. As for the volume: 101.8 Å³ per cell. As for the energy relative to the elements: 2.547 eV per atom.



First-principles (PBE-GGA) data for Li12Zn6Cu after structural relaxation, as listed in Alexandria via LeMat-Bulk.

```
Li12Zn6Cu
1.0
-4.704 1.352 4.694
4.633 -0.074 4.951
1.036 6.675 -0.597
Cu Li Zn
1 12 6
direct
0.000 0.000 0.000
0.806 0.524 0.430
0.624 0.965 0.849
0.849 0.624 0.965
0.570 0.194 0.476
0.524 0.430 0.806
0.965 0.849 0.624
0.430 0.806 0.524
0.476 0.570 0.194
0.151 0.376 0.035
0.035 0.151 0.376
0.376 0.035 0.151
0.194 0.476 0.570
0.263 0.743 0.890
0.257 0.110 0.737
0.110 0.737 0.257
0.890 0.263 0.743
0.737 0.257 0.110
0.743 0.890 0.263
```

Summary:
Its symmetry is No. 148. Its total magnetic moment is 0.00 μB per formula unit. As for the volume: 311.4 Å³ per cell. As for the energy relative to the elements: -0.122 eV per atom.



First-principles (PBE-GGA) data for Rb3PO3 after structural relaxation, as listed in Alexandria via LeMat-Bulk.

```
Rb3PO3
1.0
-1.824 -2.102 -5.300
3.008 -8.051 2.157
-8.333 2.288 1.961
Rb O P
6 6 2
direct
0.250 0.649 0.824
0.250 0.176 0.825
0.750 0.351 0.176
0.750 0.824 0.175
0.750 0.825 0.649
0.250 0.175 0.351
0.250 0.767 0.233
0.750 0.534 0.767
0.250 0.767 0.534
0.750 0.233 0.466
0.750 0.233 0.767
0.250 0.466 0.233
0.750 0.333 0.667
0.250 0.667 0.333
```

Summary:
Its symmetry is No. 176. Its total magnetic moment is 0.00 μB per formula unit. As for the volume: 407.1 Å³ per cell. Its electronic total energy is -33.37 eV per formula unit.



First-principles (PBE-GGA) data for ErTm3Sc2S6 after structural relaxation, as listed in Alexandria via LeMat-Bulk.

```
ErTm3Sc2S6
1.0
-1.832 -3.043 -1.339
0.211 -3.171 6.922
-6.179 5.763 0.737
Er Tm S Sc
1 3 6 2
direct
0.500 0.000 0.000
0.500 0.500 0.000
0.834 0.169 0.669
0.166 0.831 0.331
0.003 0.253 0.006
0.331 0.422 0.662
0.668 0.090 0.336
0.669 0.578 0.338
0.997 0.747 0.994
0.332 0.910 0.664
0.167 0.335 0.335
0.833 0.665 0.665
```

Summary:
Its symmetry is No. 12. Its total magnetic moment is 0.00 μB per formula unit. As for the volume: 232.6 Å³ per cell. Its electronic total energy is -78.31 eV per formula unit.



First-principles (PBE-GGA) data for GdMgBi2 after structural relaxation, as listed in Alexandria via LeMat-Bulk.

```
GdMgBi2
1.0
5.463 0.000 0.000
2.731 4.731 0.000
2.731 1.577 4.460
Gd Bi Mg
1 2 1
direct
0.000 0.000 0.000
0.750 0.750 0.750
0.250 0.250 0.250
0.500 0.500 0.500
```

Summary:
The distance to the lowest polymorph of the same formula comes out at 131 meV/atom. Its symmetry is No. 225. Its total magnetic moment is 7.12 μB per formula unit. As for the volume: 115.3 Å³ per cell. As for the energy relative to the elements: -0.345 eV per atom.



First-principles (PBE-GGA) data for Zr5BeBi2 after structural relaxation, as listed in Alexandria via LeMat-Bulk.

```
Zr5BeBi2
1.0
-3.146 0.043 2.682
4.523 -2.526 5.345
2.646 10.930 2.926
Bi Zr Be
4 10 2
direct
0.500 0.418 0.821
0.500 0.918 0.679
0.500 0.082 0.321
0.500 0.582 0.179
0.500 0.305 0.562
0.000 0.370 0.305
0.000 0.130 0.805
0.500 0.695 0.438
0.000 0.500 0.000
0.000 0.000 0.500
0.500 0.805 0.938
0.000 0.630 0.695
0.000 0.870 0.195
0.500 0.195 0.062
0.000 0.500 0.500
0.000 0.000 0.000
```

Summary:
Its symmetry is No. 55. Its total magnetic moment is 0.00 μB per formula unit. As for the volume: 357.6 Å³ per cell. As for the energy relative to the elements: -0.243 eV per atom.



First-principles (PBE-GGA) data for PrSm2Zn2Ag2 after structural relaxation, as listed in Alexandria via LeMat-Bulk.

```
PrSm2Zn2Ag2
1.0
4.690 0.000 0.000
2.345 4.062 0.000
2.345 1.354 9.123
Sm Ag Zn Pr
2 2 2 1
direct
0.875 0.875 0.376
0.125 0.125 0.624
0.402 0.402 0.794
0.598 0.598 0.206
0.741 0.741 0.777
0.259 0.259 0.223
0.000 0.000 0.000
```

Summary:
Its symmetry is No. 166. Its total magnetic moment is 0.00 μB per formula unit. As for the volume: 173.8 Å³ per cell. As for the energy relative to the elements: -0.221 eV per atom.



First-principles (PBE-GGA) data for HgRh4Au after structural relaxation, as listed in Alexandria via LeMat-Bulk.

```
HgRh4Au
1.0
3.297 -2.718 -2.973
1.496 -4.767 1.460
-1.688 -4.172 -2.615
Au Rh Hg
1 4 1
direct
0.250 0.250 0.250
0.625 0.625 0.125
0.625 0.125 0.625
0.125 0.625 0.625
0.625 0.625 0.625
0.000 0.000 0.000
```

Summary:
Its symmetry is No. 216. Its total magnetic moment is 2.00 μB per formula unit. As for the volume: 99.7 Å³ per cell. As for the energy relative to the elements: 0.357 eV per atom.



First-principles (PBE-GGA) data for Pr2SmPd after structural relaxation, as listed in Alexandria via LeMat-Bulk.

```
Pr2SmPd
1.0
3.924 0.000 0.000
-1.963 6.133 0.000
0.000 0.000 10.040
Pr Sm Pd
4 2 2
direct
0.636 0.272 0.440
0.364 0.728 0.940
0.364 0.728 0.560
0.636 0.272 0.060
0.076 0.152 0.750
0.924 0.848 0.250
0.232 0.465 0.250
0.768 0.535 0.750
```

Summary:
The distance to the lowest polymorph of the same formula comes out at 15 meV/atom. Its symmetry is No. 63. Its total magnetic moment is 0.00 μB per formula unit. As for the volume: 241.6 Å³ per cell. As for the energy relative to the elements: -0.385 eV per atom.



First-principles (PBE-GGA) data for Li4PmAg after structural relaxation, as listed in Alexandria via LeMat-Bulk.

```
Li4PmAg
1.0
-3.738 3.152 2.427
-4.633 -2.204 1.865
-0.851 -0.422 5.375
Pm Li Ag
1 4 1
direct
0.250 0.250 0.250
0.628 0.116 0.628
0.628 0.628 0.628
0.628 0.628 0.116
0.116 0.628 0.628
0.000 0.000 0.000
```

Summary:
Its symmetry is No. 216. Its total magnetic moment is 0.00 μB per formula unit. As for the volume: 115.0 Å³ per cell. As for the energy relative to the elements: 0.000 eV per atom.



First-principles (PBE-GGA) data for NiAsAuBr2 after structural relaxation, as listed in Alexandria via LeMat-Bulk.

```
NiAsAuBr2
1.0
-2.181 -4.341 -1.296
2.605 -0.026 -4.300
3.336 -2.284 2.035
Br Ni As Au
2 1 1 1
direct
0.000 0.500 0.000
0.500 0.000 0.000
0.000 0.000 0.000
0.000 0.000 0.500
0.500 0.500 0.500
```

Summary:
The distance to the lowest polymorph of the same formula comes out at 0 meV/atom. Its symmetry is No. 123. Its total magnetic moment is 0.00 μB per formula unit. As for the volume: 114.4 Å³ per cell.



First-principles (PBE-GGA) data for Tl5Au3I12 after structural relaxation, as listed in Alexandria via LeMat-Bulk.

```
Tl5Au3I12
1.0
16.960 0.000 0.000
-5.653 15.990 0.000
-5.653 -7.995 13.848
I Au Tl
48 12 20
direct
0.692 0.977 0.111
0.977 0.285 0.865
0.715 0.023 0.635
0.692 0.715 0.080
0.135 0.215 0.023
0.285 0.977 0.365
0.308 0.023 0.889
0.523 0.635 0.215
0.785 0.920 0.808
0.285 0.308 0.420
0.920 0.785 0.308
0.192 0.611 0.477
0.889 0.365 0.080
0.080 0.215 0.692
0.785 0.865 0.477
0.135 0.920 0.611
0.192 0.580 0.215
0.111 0.635 0.920
0.808 0.420 0.785
0.920 0.135 0.111
0.715 0.692 0.580
0.865 0.785 0.977
0.611 0.192 0.977
0.580 0.389 0.365
0.635 0.111 0.420
0.420 0.611 0.635
0.865 0.080 0.389
0.365 0.477 0.285
0.215 0.080 0.192
0.023 0.308 0.389
0.023 0.715 0.135
0.977 0.692 0.611
0.523 0.889 0.808
0.889 0.523 0.308
0.477 0.365 0.785
0.611 0.420 0.135
0.365 0.889 0.580
0.808 0.389 0.523
0.477 0.111 0.192
0.080 0.865 0.889
0.635 0.523 0.715
0.111 0.477 0.692
0.420 0.808 0.285
0.215 0.135 0.523
0.389 0.808 0.023
0.389 0.580 0.865
0.580 0.192 0.715
0.308 0.285 0.920
0.750 0.875 0.625
0.750 0.375 0.125
0.125 0.250 0.875
0.250 0.125 0.375
0.625 0.250 0.375
0.375 0.625 0.250
0.625 0.375 0.750
0.875 0.750 0.125
0.375 0.750 0.625
0.875 0.125 0.250
0.125 0.875 0.750
0.250 0.625 0.875
0.000 0.000 0.000
0.500 0.500 0.500
0.625 0.750 0.875
0.000 0.000 0.500
0.500 0.500 0.000
0.250 0.875 0.125
0.500 0.000 0.500
0.250 0.375 0.625
0.375 0.125 0.750
0.375 0.250 0.125
0.125 0.375 0.250
0.500 0.000 0.000
0.875 0.250 0.625
0.625 0.875 0.250
0.875 0.625 0.750
0.000 0.500 0.500
0.000 0.500 0.000
0.750 0.625 0.375
0.750 0.125 0.875
0.125 0.750 0.375
```

Summary:
Its symmetry is No. 230. Its total magnetic moment is 0.00 μB per formula unit. As for the volume: 3755.2 Å³ per cell. Its electronic total energy is -46.42 eV per formula unit.



no.,mass density (Mg/m³)
1,7.44
2,10.11
3,10.76
4,7.48
5,10.16
6,9.10
7,13.93
8,2.97
9,7.22
10,2.88
11,2.74
12,6.83
13,8.64
14,8.20
15,7.53
16,13.47
17,7.40
18,4.05
19,7.12
20,5.55